## BaCoOsO6 (PBE+U)

Data for a relaxed BaCoOsO6 crystal.

The structure in POSCAR format:
```
BaCoOsO6
1.0
-2.769 3.046 3.102
0.197 -0.663 5.108
4.367 3.659 0.306
O Os Co Ba
6 1 1 1
direct
0.000 0.604 0.687
0.604 0.000 0.313
0.604 0.396 0.687
0.000 0.396 0.313
0.396 0.000 0.687
0.396 0.604 0.313
0.333 0.333 0.500
0.667 0.667 0.500
0.000 0.000 0.000
```

**Density**: 6.1 g/cm³
**Total DFT energy (no corrections)**: -61.07 eV/f.u.